No. 1
The following is a DFT calculation (PBE) of a relaxed structure of TbMg2Pd8.

Structure (CIF):
```
data_TbMg2Pd8
_cell_length_a 14.393
_cell_length_b 4.123
_cell_length_c 6.397
_cell_angle_alpha 90.00
_cell_angle_beta 106.46
_cell_angle_gamma 90.00
_space_group_name_H-M_alt 'C 1 2/m 1'
_space_group_IT_number 12
loop_
_space_group_symop_operation_xyz
'x,y,z'
'-x,-y,-z'
'-x,y,-z'
'x,-y,z'
'x+1/2,y+1/2,z'
'-x+1/2,-y+1/2,-z'
'-x+1/2,y+1/2,-z'
'x+1/2,-y+1/2,z'
loop_
_atom_site_label
_atom_site_type_symbol
_atom_site_fract_x
_atom_site_fract_y
_atom_site_fract_z
Tb1 Tb 0.000 0.000 0.000
Mg1 Mg 0.223 0.500 0.654
Pd1 Pd 0.043 0.500 0.720
Pd2 Pd 0.097 0.000 0.468
Pd3 Pd 0.144 0.500 0.197
Pd4 Pd 0.183 0.000 0.916
```

No. 2
The following is a DFT calculation (PBE) of a relaxed structure of Tb4MgPd15.

Structure (CIF):
```
data_Tb4MgPd15
_cell_length_a 4.099
_cell_length_b 4.099
_cell_length_c 20.503
_cell_angle_alpha 90.00
_cell_angle_beta 90.00
_cell_angle_gamma 90.00
_space_group_name_H-M_alt 'P 4/m m m'
_space_group_IT_number 123
_space_group_name_Hall '-P 4 2'
loop_
_atom_site_label
_atom_site_type_symbol
_atom_site_fract_x
_atom_site_fract_y
_atom_site_fract_z
Tb1 Tb 0.000 0.000 0.102
Tb2 Tb 0.000 0.000 0.306
Mg1 Mg 0.000 0.000 0.500
Pd1 Pd 0.000 0.500 0.000
Pd2 Pd 0.000 0.500 0.204
Pd3 Pd 0.000 0.500 0.407
Pd4 Pd 0.500 0.500 0.102
Pd5 Pd 0.500 0.500 0.305
Pd6 Pd 0.500 0.500 0.500
```

No. 3
The following is a DFT calculation (PBE) of a relaxed structure of Tb2MgPd.

Structure (CIF):
```
data_Tb2MgPd
_cell_length_a 3.3381
_cell_length_b 3.3381
_cell_length_c 32.2028
_cell_angle_alpha 90.00
_cell_angle_beta 90.00
_cell_angle_gamma 120.00
_space_group_name_H-M_alt 'R -3 m'
_space_group_IT_number 166
_space_group_name_Hall '-R 3 2"'
loop_
_atom_site_label
_atom_site_type_symbol
_atom_site_fract_x
_atom_site_fract_y
_atom_site_fract_z
Tb1 Tb 0.0000 0.0000 0.0819
Mg1 Mg 0.0000 0.0000 0.5000
Pd1 Pd 0.0000 0.0000 0.0000
```

No. 4
The following is a DFT calculation (PBE) of a relaxed structure of Tb2MgPd5.

Structure (CIF):
```
data_Tb2MgPd5
_cell_length_a 6.313
_cell_length_b 6.313
_cell_length_c 7.445
_cell_angle_alpha 90.00
_cell_angle_beta 90.00
_cell_angle_gamma 90.00
_space_group_name_H-M_alt 'I 4 m m'
_space_group_IT_number 107
_space_group_name_Hall 'I 4 -2'
loop_
_atom_site_label
_atom_site_type_symbol
_atom_site_fract_x
_atom_site_fract_y
_atom_site_fract_z
Tb1 Tb 0.000 0.500 0.000
Mg1 Mg 0.000 0.000 0.402
Pd1 Pd 0.000 0.000 0.017
Pd2 Pd 0.225 0.225 0.741
```

No. 5
The following is a DFT calculation (PBE) of a relaxed structure of Tb2Mg3Pd2.

Structure (CIF):
```
data_Tb2Mg3Pd2
_cell_length_a 10.412
_cell_length_b 4.006
_cell_length_c 7.635
_cell_angle_alpha 90.00
_cell_angle_beta 95.90
_cell_angle_gamma 90.00
_space_group_name_H-M_alt 'C 1 2/m 1'
_space_group_IT_number 12
loop_
_space_group_symop_operation_xyz
'x,y,z'
'-x,-y,-z'
'-x,y,-z'
'x,-y,z'
'x+1/2,y+1/2,z'
'-x+1/2,-y+1/2,-z'
'-x+1/2,y+1/2,-z'
'x+1/2,-y+1/2,z'
loop_
_atom_site_label
_atom_site_type_symbol
_atom_site_fract_x
_atom_site_fract_y
_atom_site_fract_z
Tb1 Tb 0.124 0.000 0.358
Mg1 Mg 0.000 0.500 0.000
Mg2 Mg 0.187 0.000 0.864
Pd1 Pd 0.092 0.500 0.648
```

No. 6
The following is a DFT calculation (PBE) of a relaxed structure of Tb3Mg2Pd6.

Structure (CIF):
```
data_Tb3Mg2Pd6
_cell_length_a 9.635
_cell_length_b 9.635
_cell_length_c 9.635
_cell_angle_alpha 90.00
_cell_angle_beta 90.00
_cell_angle_gamma 90.00
_space_group_name_H-M_alt 'I m -3 m'
_space_group_IT_number 229
_space_group_name_Hall '-I 4 2 3'
loop_
_atom_site_label
_atom_site_type_symbol
_atom_site_fract_x
_atom_site_fract_y
_atom_site_fract_z
Tb1 Tb 0.000 0.000 0.303
Mg1 Mg 0.250 0.250 0.250
Pd1 Pd 0.000 0.338 0.338
```

No. 7
The following is a DFT calculation (PBE) of a relaxed structure of Tb12MgPd6.

Structure (CIF):
```
data_Tb12MgPd6
_cell_length_a 10.042
_cell_length_b 10.042
_cell_length_c 10.042
_cell_angle_alpha 90.00
_cell_angle_beta 90.00
_cell_angle_gamma 90.00
_space_group_name_H-M_alt 'I m -3'
_space_group_IT_number 204
_space_group_name_Hall '-I 2 2 3'
loop_
_atom_site_label
_atom_site_type_symbol
_atom_site_fract_x
_atom_site_fract_y
_atom_site_fract_z
Tb1 Tb 0.000 0.299 0.183
Mg1 Mg 0.000 0.000 0.000
Pd1 Pd 0.000 0.136 0.500
```

No. 8
The following is a DFT calculation (PBE) of a relaxed structure of Tb2MgPd6.

Structure (CIF):
```
data_Tb2MgPd6
_cell_length_a 13.645
_cell_length_b 7.966
_cell_length_c 3.424
_cell_angle_alpha 90.00
_cell_angle_beta 104.24
_cell_angle_gamma 90.00
_space_group_name_H-M_alt 'C 1 2/m 1'
_space_group_IT_number 12
loop_
_space_group_symop_operation_xyz
'x,y,z'
'-x,-y,-z'
'-x,y,-z'
'x,-y,z'
'x+1/2,y+1/2,z'
'-x+1/2,-y+1/2,-z'
'-x+1/2,y+1/2,-z'
'x+1/2,-y+1/2,z'
loop_
_atom_site_label
_atom_site_type_symbol
_atom_site_fract_x
_atom_site_fract_y
_atom_site_fract_z
Tb1 Tb 0.157 0.000 0.157
Mg1 Mg 0.000 0.500 0.500
Pd1 Pd 0.000 0.245 0.000
Pd2 Pd 0.166 0.287 0.666
```

No. 9
The following is a DFT calculation (PBE) of a relaxed structure of TbMgPd4.

Structure (CIF):
```
data_TbMgPd4
_cell_length_a 3.932
_cell_length_b 3.932
_cell_length_c 7.842
_cell_angle_alpha 90.00
_cell_angle_beta 90.00
_cell_angle_gamma 90.00
_space_group_name_H-M_alt 'P 4/m m m'
_space_group_IT_number 123
_space_group_name_Hall '-P 4 2'
loop_
_atom_site_label
_atom_site_type_symbol
_atom_site_fract_x
_atom_site_fract_y
_atom_site_fract_z
Tb1 Tb 0.000 0.000 0.000
Mg1 Mg 0.500 0.500 0.500
Pd1 Pd 0.000 0.500 0.265
```

No. 10
The following is a DFT calculation (PBE) of a relaxed structure of TbMg8Pd4.

Structure (CIF):
```
data_TbMg8Pd4
_cell_length_a 9.405
_cell_length_b 9.405
_cell_length_c 5.671
_cell_angle_alpha 90.00
_cell_angle_beta 90.00
_cell_angle_gamma 90.00
_space_group_name_H-M_alt 'I 4/m m m'
_space_group_IT_number 139
_space_group_name_Hall '-I 4 2'
loop_
_atom_site_label
_atom_site_type_symbol
_atom_site_fract_x
_atom_site_fract_y
_atom_site_fract_z
Tb1 Tb 0.000 0.000 0.000
Mg1 Mg 0.000 0.220 0.500
Mg2 Mg 0.000 0.336 0.000
Pd1 Pd 0.250 0.250 0.250
```

No. 11
The following is a DFT calculation (PBE) of a relaxed structure of Tb6MgPd.

Structure (CIF):
```
data_Tb6MgPd
_cell_length_a 7.141
_cell_length_b 7.149
_cell_length_c 7.152
_cell_angle_alpha 119.83
_cell_angle_beta 90.17
_cell_angle_gamma 119.87
_space_group_name_H-M_alt 'P -1'
_space_group_IT_number 2
loop_
_space_group_symop_operation_xyz
'x,y,z'
'-x,-y,-z'
loop_
_atom_site_label
_atom_site_type_symbol
_atom_site_fract_x
_atom_site_fract_y
_atom_site_fract_z
Tb1 Tb 0.244 0.464 0.435
Tb2 Tb 0.245 0.216 0.781
Tb3 Tb 0.245 0.807 0.027
Mg1 Mg 0.500 0.000 0.500
Pd1 Pd 0.000 0.000 0.000
```

No. 12
The following is a DFT calculation (PBE) of a relaxed structure of TbMgTlPd.

Structure (CIF):
```
data_TbMgTlPd
_cell_length_a 7.062
_cell_length_b 7.062
_cell_length_c 7.062
_cell_angle_alpha 90.00
_cell_angle_beta 90.00
_cell_angle_gamma 90.00
_space_group_name_H-M_alt 'F -4 3 m'
_space_group_IT_number 216
_space_group_name_Hall 'F -4 2 3'
loop_
_atom_site_label
_atom_site_type_symbol
_atom_site_fract_x
_atom_site_fract_y
_atom_site_fract_z
Tb1 Tb 0.000 0.000 0.000
Mg1 Mg 0.000 0.000 0.500
Tl1 Tl 0.250 0.250 0.750
Pd1 Pd 0.250 0.250 0.250
```

Calculated theoretical density, 9659, 10876, 7191, 9786, 6328, 8642, 8428, 9027, 8339, 5158, 6953, 9319 kg/m3 (same order as the records).
Calculated calculated total energy, -5.09, -5.69, -3.95, -5.40, -4.04, -5.17, -5.19, -5.19, -4.97, -3.43, -4.23, -3.94 eV per atom (same order as the records).